#1
DFT (PBE) results for an optimized crystal structure of KBiH3.

The space group is Pm-3m (No. 221) and the conventional cell measures 4.3320, 4.3320 and 4.3320 Å, with angles of 90.00, 90.00 and 90.00 degrees. The asymmetric unit holds K at (0.0000, 0.0000, 0.0000), Bi at (0.5000, 0.5000, 0.5000) and H at (0.0000, 0.0000, 0.5000).

The volume is 16.3 Å³ per atom. For the density of states at the Fermi level, the calculation gives 1.65 states/eV/cell.



#2
DFT (PBE) results for an optimized crystal structure of KBiH3.

The space group is Pm-3m (No. 221) and the conventional cell measures 4.4992, 4.4992 and 4.4992 Å, with angles of 90.00, 90.00 and 90.00 degrees. The asymmetric unit holds K at (0.0000, 0.0000, 0.0000), Bi at (0.5000, 0.5000, 0.5000) and H at (0.0000, 0.5000, 0.5000).

The volume is 18.2 Å³ per atom. For the density of states at the Fermi level, the calculation gives 0.94 states/eV/cell.



Computed stability ranking, most favorable first: #2, #1



#1
DFT (PBE) results for an optimized crystal structure of KBi3H.

The space group is Pm-3m (No. 221) and the conventional cell measures 5.1097, 5.1097 and 5.1097 Å, with angles of 90.00, 90.00 and 90.00 degrees. The asymmetric unit holds K at (0.0000, 0.0000, 0.0000), Bi at (0.0000, 0.5000, 0.5000) and H at (0.5000, 0.5000, 0.5000).

The volume is 26.7 Å³ per atom. For the density of states at the Fermi level, the calculation gives 1.77 states/eV/cell.



#2
DFT (PBE) results for an optimized crystal structure of KBi3H.

The space group is Pm-3m (No. 221) and the conventional cell measures 6.1146, 6.1146 and 6.1146 Å, with angles of 90.00, 90.00 and 90.00 degrees. The asymmetric unit holds K at (0.0000, 0.0000, 0.0000), Bi at (0.0000, 0.0000, 0.5000) and H at (0.5000, 0.5000, 0.5000).

The volume is 45.7 Å³ per atom. For the density of states at the Fermi level, the calculation gives 7.96 states/eV/cell.



Computed stability ranking, most favorable first: #1, #2



#1
DFT (PBE) results for an optimized crystal structure of K2Bi2H.

The space group is I4/mmm (No. 139) and the conventional cell measures 4.4308, 4.4308 and 19.3917 Å, with angles of 90.00, 90.00 and 90.00 degrees. The asymmetric unit holds K at (0.0000, 0.0000, 0.0912), Bi at (0.0000, 0.5000, 0.2500) and H at (0.0000, 0.0000, 0.5000).

The volume is 38.1 Å³ per atom. For the density of states at the Fermi level, the calculation gives 2.91 states/eV/cell.



#2
DFT (PBE) results for an optimized crystal structure of K2Bi2H.

The space group is P4/mbm (No. 127) and the conventional cell measures 7.8636, 7.8636 and 6.1272 Å, with angles of 90.00, 90.00 and 90.00 degrees. The asymmetric unit holds K at (0.1918, 0.3082, 0.0000), Bi at (0.1260, 0.6260, 0.5000) and H at (0.0000, 0.0000, 0.0000).

The volume is 37.9 Å³ per atom. For the density of states at the Fermi level, the calculation gives 7.18 states/eV/cell.



Computed stability ranking, most favorable first: #1, #2



#1
DFT (PBE) results for an optimized crystal structure of KBi2H.

The space group is I4_1/amd (No. 141, origin choice 2) and the conventional cell measures 7.0449, 7.0449 and 10.2193 Å, with angles of 90.00, 90.00 and 90.00 degrees. The asymmetric unit holds K at (0.0000, 0.2500, 0.3750), Bi at (0.0000, 0.0000, 0.0000) and H at (0.0000, 0.2500, 0.8750).

The volume is 31.7 Å³ per atom. For the density of states at the Fermi level, the calculation gives 7.58 states/eV/cell.



#2
DFT (PBE) results for an optimized crystal structure of KBi2H.

The space group is Fm-3m (No. 225) and the conventional cell measures 7.6314, 7.6314 and 7.6314 Å, with angles of 90.00, 90.00 and 90.00 degrees. The asymmetric unit holds K at (0.0000, 0.0000, 0.0000), Bi at (0.2500, 0.2500, 0.2500) and H at (0.0000, 0.0000, 0.5000).

The volume is 27.8 Å³ per atom. For the density of states at the Fermi level, the calculation gives 8.93 states/eV/cell.



Computed stability ranking, most favorable first: #1, #2



#1
DFT (PBE) results for an optimized crystal structure of LaBiH.

The space group is P-1 (No. 2) and the conventional cell measures 3.5020, 6.5649 and 6.5966 Å, with angles of 74.28, 74.72 and 74.57 degrees. The asymmetric unit holds La at (0.0350, 0.1667, 0.2658), Bi at (0.3275, 0.6419, 0.2030) and H at (0.4074, 0.1230, 0.5684).

The volume is 22.9 Å³ per atom. For the density of states at the Fermi level, the calculation gives 2.74 states/eV/cell.



#2
DFT (PBE) results for an optimized crystal structure of LaBiH.

The space group is I4mm (No. 107) and the conventional cell measures 3.4503, 3.4503 and 11.9158 Å, with angles of 90.00, 90.00 and 90.00 degrees. The asymmetric unit holds La at (0.0000, 0.0000, 0.0000), Bi at (0.0000, 0.0000, 0.2859) and H at (0.0000, 0.0000, 0.5517).

The volume is 23.6 Å³ per atom. For the density of states at the Fermi level, the calculation gives 2.41 states/eV/cell.



#3
DFT (PBE) results for an optimized crystal structure of LaBiH.

The space group is P-6m2 (No. 187) and the conventional cell measures 4.0420, 4.0420 and 5.0351 Å, with angles of 90.00, 90.00 and 120.00 degrees. The asymmetric unit holds La at (0.0000, 0.0000, 0.0000), Bi at (0.6667, 0.3333, 0.5000) and H at (0.3333, 0.6667, 0.0000).

The volume is 23.7 Å³ per atom. For the density of states at the Fermi level, the calculation gives 1.25 states/eV/cell.



Computed stability ranking, most favorable first: #3, #2, #1



#1
DFT (PBE) results for an optimized crystal structure of LaBi3H.

The space group is Pm-3m (No. 221) and the conventional cell measures 5.0468, 5.0468 and 5.0468 Å, with angles of 90.00, 90.00 and 90.00 degrees. The asymmetric unit holds La at (0.0000, 0.0000, 0.0000), Bi at (0.0000, 0.5000, 0.5000) and H at (0.5000, 0.5000, 0.5000).

The volume is 25.7 Å³ per atom. For the density of states at the Fermi level, the calculation gives 1.70 states/eV/cell.



#2
DFT (PBE) results for an optimized crystal structure of LaBi3H.

The space group is Pm-3m (No. 221) and the conventional cell measures 6.2406, 6.2406 and 6.2406 Å, with angles of 90.00, 90.00 and 90.00 degrees. The asymmetric unit holds La at (0.0000, 0.0000, 0.0000), Bi at (0.0000, 0.0000, 0.5000) and H at (0.5000, 0.5000, 0.5000).

The volume is 48.6 Å³ per atom. For the density of states at the Fermi level, the calculation gives 2.65 states/eV/cell.



Computed stability ranking, most favorable first: #1, #2



#1
DFT (PBE) results for an optimized crystal structure of La3BiH3.

The space group is Pm-3n (No. 223) and the conventional cell measures 6.6807, 6.6807 and 6.6807 Å, with angles of 90.00, 90.00 and 90.00 degrees. The asymmetric unit holds La at (0.0000, 0.2500, 0.5000), Bi at (0.0000, 0.0000, 0.0000) and H at (0.0000, 0.5000, 0.2500).

The volume is 21.3 Å³ per atom. For the density of states at the Fermi level, the calculation gives 12.72 states/eV/cell.



#2
DFT (PBE) results for an optimized crystal structure of La3BiH3.

The space group is R-3 (No. 148, hexagonal axes) and the conventional cell measures 7.2332, 7.2332 and 22.1569 Å, with angles of 90.00, 90.00 and 120.00 degrees. The asymmetric unit holds La at (0.0003, 0.3351, 0.0678), Bi at (0.0000, 0.0000, 0.1662) and H at (0.0022, 0.3297, 0.9591).

The volume is 23.9 Å³ per atom. For the density of states at the Fermi level, the calculation gives 10.31 states/eV/cell.



Computed stability ranking, most favorable first: #2, #1



#1
DFT (PBE) results for an optimized crystal structure of La3BiH.

The space group is Cmmm (No. 65) and the conventional cell measures 10.2402, 13.5328 and 4.1648 Å, with angles of 90.00, 90.00 and 90.00 degrees. The asymmetric unit holds La at (0.0000, 0.1951, 0.0000), La at (0.2037, 0.3768, 0.5000), Bi at (0.0000, 0.0000, 0.5000), Bi at (0.0000, 0.5000, 0.0000) and H at (0.2500, 0.2500, 0.0000).

The volume is 28.9 Å³ per atom. For the density of states at the Fermi level, the calculation gives 18.96 states/eV/cell.



#2
DFT (PBE) results for an optimized crystal structure of La3BiH.

The space group is Pm-3m (No. 221) and the conventional cell measures 5.0986, 5.0986 and 5.0986 Å, with angles of 90.00, 90.00 and 90.00 degrees. The asymmetric unit holds La at (0.0000, 0.0000, 0.5000), Bi at (0.5000, 0.5000, 0.5000) and H at (0.0000, 0.0000, 0.0000).

The volume is 26.5 Å³ per atom. For the density of states at the Fermi level, the calculation gives 4.66 states/eV/cell.



Computed stability ranking, most favorable first: #2, #1



#1
DFT (PBE) results for an optimized crystal structure of La3Bi2H2.

The space group is Cmcm (No. 63) and the conventional cell measures 4.2369, 21.0828 and 8.1417 Å, with angles of 90.00, 90.00 and 90.00 degrees. The asymmetric unit holds La at (0.0000, 0.0861, 0.0292), La at (0.0000, 0.2958, 0.2500), Bi at (0.0000, 0.3257, 0.7500), Bi at (0.0000, 0.4734, 0.2500) and H at (0.0000, 0.1806, 0.6112).

The volume is 26.0 Å³ per atom. For the density of states at the Fermi level, the calculation gives 17.65 states/eV/cell.



#2
DFT (PBE) results for an optimized crystal structure of La3Bi2H2.

The space group is P2_1/c (No. 14) and the conventional cell measures 6.9260, 6.3535 and 8.5852 Å, with angles of 90.00, 110.53 and 90.00 degrees. The asymmetric unit holds La at (0.0000, 0.0000, 0.0000), La at (0.3664, 0.1225, 0.7858), Bi at (0.2285, 0.6056, 0.8941) and H at (0.3523, 0.1106, 0.0682).

The volume is 25.3 Å³ per atom. For the density of states at the Fermi level, the calculation gives 6.89 states/eV/cell.



Computed stability ranking, most favorable first: #2, #1



#1
DFT (PBE) results for an optimized crystal structure of Li2BiH.

The space group is P4/mmm (No. 123) and the conventional cell measures 4.9623, 4.9623 and 3.0759 Å, with angles of 90.00, 90.00 and 90.00 degrees. The asymmetric unit holds Li at (0.0000, 0.5000, 0.0000), Bi at (0.0000, 0.0000, 0.5000) and H at (0.5000, 0.5000, 0.5000).

The volume is 18.9 Å³ per atom. For the density of states at the Fermi level, the calculation gives 0.62 states/eV/cell.



#2
DFT (PBE) results for an optimized crystal structure of Li2BiH.

The space group is Fm-3m (No. 225) and the conventional cell measures 6.5197, 6.5197 and 6.5197 Å, with angles of 90.00, 90.00 and 90.00 degrees. The asymmetric unit holds Li at (0.2500, 0.2500, 0.2500), Bi at (0.0000, 0.0000, 0.0000) and H at (0.0000, 0.0000, 0.5000).

The volume is 17.3 Å³ per atom. For the density of states at the Fermi level, the calculation gives 8.22 states/eV/cell.



#3
DFT (PBE) results for an optimized crystal structure of Li2BiH.

The space group is R3m (No. 160, hexagonal axes) and the conventional cell measures 3.3237, 3.3237 and 21.3273 Å, with angles of 90.00, 90.00 and 120.00 degrees. The asymmetric unit holds Li at (0.0000, 0.0000, 0.0000), Li at (0.0000, 0.0000, 0.2265), Bi at (0.0000, 0.0000, 0.4443) and H at (0.0000, 0.0000, 0.6149).

The volume is 17.0 Å³ per atom. For the density of states at the Fermi level, the calculation gives 1.86 states/eV/cell.



#4
DFT (PBE) results for an optimized crystal structure of Li2BiH.

The space group is P4/mmm (No. 123) and the conventional cell measures 3.1522, 3.1522 and 7.2881 Å, with angles of 90.00, 90.00 and 90.00 degrees. The asymmetric unit holds Li at (0.0000, 0.0000, 0.1887), Bi at (0.5000, 0.5000, 0.5000) and H at (0.5000, 0.5000, 0.0000).

The volume is 18.1 Å³ per atom. For the density of states at the Fermi level, the calculation gives 0.82 states/eV/cell.



Computed stability ranking, most favorable first: #3, #4, #1, #2



#1
DFT (PBE) results for an optimized crystal structure of Li2BiH.

The space group is R-3m (No. 166, hexagonal axes) and the conventional cell measures 3.4748, 3.4748 and 23.8350 Å, with angles of 90.00, 90.00 and 120.00 degrees. The asymmetric unit holds Li at (0.0000, 0.0000, 0.0689), Bi at (0.0000, 0.0000, 0.5000) and H at (0.0000, 0.0000, 0.0000).

The volume is 20.8 Å³ per atom. For the density of states at the Fermi level, the calculation gives 1.99 states/eV/cell.



#2
DFT (PBE) results for an optimized crystal structure of Li2BiH.

The space group is I4_1/amd (No. 141, origin choice 2) and the conventional cell measures 5.7619, 5.7619 and 8.1113 Å, with angles of 90.00, 90.00 and 90.00 degrees. The asymmetric unit holds Li at (0.0000, 0.0000, 0.0000), Bi at (0.0000, 0.2500, 0.3750) and H at (0.0000, 0.2500, 0.8750).

The volume is 16.8 Å³ per atom. For the density of states at the Fermi level, the calculation gives 5.17 states/eV/cell.



#3
DFT (PBE) results for an optimized crystal structure of Li2BiH.

The space group is P2_1 (No. 4) and the conventional cell measures 3.2512, 5.3987 and 8.0743 Å, with angles of 90.00, 101.51 and 90.00 degrees. The asymmetric unit holds Li at (0.0982, 0.0000, 0.1957), Li at (0.2485, 0.3401, 0.4967), Bi at (0.4339, 0.9996, 0.8669) and H at (0.2155, 0.9987, 0.4306).

The volume is 17.4 Å³ per atom. For the density of states at the Fermi level, the calculation gives 1.49 states/eV/cell.



Computed stability ranking, most favorable first: #3, #2, #1